1.
Here is a geometry-optimized Cs2ZrIBr6 structure from Alexandria. Energies are from GGA-PBE.

a = 13.1820 Å, b = 7.8229 Å, c = 9.1488 Å
α = 90.00°, β = 113.85°, γ = 90.00°
Space group C2 (No. 5)
One atom of each set of equivalent atoms:
Cs 0.2104 0.0000 0.2625 x4
Zr 0.0000 0.5143 0.0000 x2
I 0.0000 0.2527 0.5000 x2
Br 0.0763 0.7466 0.8642 x4
Br 0.0856 0.2614 0.8833 x4
Br 0.1871 0.4992 0.2612 x4

Calculated values
- M_tot: 1.0 μB/f.u.
- Excess energy over the best structure of this formula in the dataset: 0 meV per atom
- Calculated total energy: -3.58 eV per atom
- Formation energy from raw total energies: -1.3922 eV per atom

***

2.
Here is a geometry-optimized Cs2ZrIBr6 structure from Alexandria. Energies are from GGA-PBE.

a = 9.0229 Å, b = 9.0229 Å, c = 11.4677 Å
α = 90.00°, β = 90.00°, γ = 90.00°
Space group I4/mmm (No. 139)
One atom of each set of equivalent atoms:
Cs 0.0000 0.5000 0.2500 x4
Zr 0.0000 0.0000 0.0000 x2
I 0.0000 0.0000 0.5000 x2
Br 0.0000 0.0000 0.2327 x4
Br 0.2073 0.2073 0.0000 x8

Calculated values
- M_tot: 0.0 μB/f.u.
- Excess energy over the best structure of this formula in the dataset: 75 meV per atom
- Calculated total energy: -3.50 eV per atom
- Formation energy from raw total energies: -1.3175 eV per atom

***

3.
Here is a geometry-optimized Cs4In3Br10 structure from Alexandria. Energies are from GGA-PBE.

a = 5.7409 Å, b = 5.7409 Å, c = 41.3435 Å
α = 90.00°, β = 90.00°, γ = 90.00°
Space group I4/mmm (No. 139)
One atom of each set of equivalent atoms:
Cs 0.0000 0.0000 0.0686 x4
Cs 0.0000 0.0000 0.2004 x4
In 0.0000 0.0000 0.3580 x4
In 0.0000 0.0000 0.5000 x2
Br 0.0000 0.0000 0.2886 x4
Br 0.0000 0.0000 0.4311 x4
Br 0.0000 0.5000 0.0000 x4
Br 0.0000 0.5000 0.1392 x8

Calculated values
- M_tot: 0.0 μB/f.u.
- Calculated total energy: -2.94 eV per atom
- Formation energy from raw total energies: -1.2719 eV per atom

***

4.
Here is a geometry-optimized CsInBr2 structure from Alexandria. Energies are from GGA-PBE.

a = 4.1919 Å, b = 4.1919 Å, c = 8.3999 Å
α = 90.00°, β = 90.00°, γ = 90.00°
Space group P4/mmm (No. 123)
One atom of each set of equivalent atoms:
Cs 0.0000 0.0000 0.0000 x1
In 0.0000 0.0000 0.5000 x1
Br 0.5000 0.5000 0.2669 x2

Calculated values
- M_tot: 0.0 μB/f.u.
- Excess energy over the best structure of this formula in the dataset: 60 meV per atom
- Calculated total energy: -2.89 eV per atom
- Formation energy from raw total energies: -1.1566 eV per atom

***

5.
Here is a geometry-optimized CsInBr3 structure from Alexandria. Energies are from GGA-PBE.

a = 5.6331 Å, b = 9.3351 Å, c = 9.7947 Å
α = 64.61°, β = 83.99°, γ = 85.52°
Space group P1 (No. 1)
One atom of each set of equivalent atoms:
Cs 0.0000 0.0000 0.0000 x1
Cs 0.3925 0.5114 0.5091 x1
In 0.1790 0.1115 0.3994 x1
In 0.4117 0.5552 0.9186 x1
Br 0.3898 0.0514 0.6376 x1
Br 0.4606 0.1742 0.1584 x1
Br 0.5266 0.7270 0.0958 x1
Br 0.8469 0.4265 0.7870 x1
Br 0.9373 0.3703 0.3333 x1
Br 0.9616 0.8664 0.4389 x1

Calculated values
- M_tot: 0.0 μB/f.u.
- Calculated total energy: -2.89 eV per atom
- Formation energy from raw total energies: -1.1728 eV per atom

***

6.
Here is a geometry-optimized Cs12In3Br5 structure from Alexandria. Energies are from GGA-PBE.

a = 22.2854 Å, b = 22.2854 Å, c = 22.2854 Å
α = 90.00°, β = 90.00°, γ = 90.00°
Space group Ia-3d (No. 230)
One atom of each set of equivalent atoms:
Cs 0.0209 0.0635 0.6524 x96
In 0.0000 0.2500 0.1250 x24
Br 0.0000 0.0000 0.0000 x16
Br 0.0000 0.2500 0.3750 x24

Calculated values
- M_tot: 8.2 μB/f.u.
- Calculated total energy: -2.12 eV per atom
- Formation energy from raw total energies: -0.7815 eV per atom

***

7.
Here is a geometry-optimized CsInBr2 structure from Alexandria. Energies are from GGA-PBE.

a = 8.4093 Å, b = 8.4093 Å, c = 8.4093 Å
α = 90.00°, β = 90.00°, γ = 90.00°
Space group Fm-3m (No. 225)
One atom of each set of equivalent atoms:
Cs 0.0000 0.0000 0.0000 x4
In 0.0000 0.0000 0.5000 x4
Br 0.2500 0.2500 0.2500 x8

Calculated values
- M_tot: 0.0 μB/f.u.
- Excess energy over the best structure of this formula in the dataset: 68 meV per atom
- Calculated total energy: -2.88 eV per atom
- Formation energy from raw total energies: -1.1485 eV per atom

***

8.
Here is a geometry-optimized CsIn2Br7 structure from Alexandria. Energies are from GGA-PBE.

a = 8.6455 Å, b = 20.7815 Å, c = 4.4905 Å
α = 90.00°, β = 90.00°, γ = 90.00°
Space group Cmmm (No. 65)
One atom of each set of equivalent atoms:
Cs 0.0000 0.0000 0.0000 x2
In 0.0000 0.3661 0.5000 x4
Br 0.0000 0.2914 0.0000 x4
Br 0.0000 0.5000 0.5000 x2
Br 0.2026 0.1261 0.5000 x8

Calculated values
- M_tot: 0.0 μB/f.u.
- Calculated total energy: -2.74 eV per atom
- Formation energy from raw total energies: -0.9322 eV per atom

***

9.
Here is a geometry-optimized Cs2In3Br9 structure from Alexandria. Energies are from GGA-PBE.

a = 13.6396 Å, b = 16.3069 Å, c = 11.3517 Å
α = 90.00°, β = 117.37°, γ = 90.00°
Space group C2/m (No. 12)
One atom of each set of equivalent atoms:
Cs 0.0343 0.1592 0.3108 x8
In 0.1532 0.5000 0.8125 x4
In 0.1558 0.4120 0.1824 x8
Br 0.0000 0.3050 0.0000 x4
Br 0.0104 0.3913 0.3135 x8
Br 0.1394 0.0000 0.6166 x4
Br 0.2325 0.0000 0.3133 x4
Br 0.2357 0.2172 0.6820 x8
Br 0.2422 0.1117 0.9940 x8

Calculated values
- M_tot: 0.0 μB/f.u.
- Calculated total energy: -2.83 eV per atom
- Formation energy from raw total energies: -1.0496 eV per atom

***

10.
Here is a geometry-optimized Cs2InBr3 structure from Alexandria. Energies are from GGA-PBE.

a = 4.7027 Å, b = 26.5842 Å, c = 8.8313 Å
α = 90.00°, β = 90.00°, γ = 90.00°
Space group Cmcm (No. 63)
One atom of each set of equivalent atoms:
Cs 0.0000 0.0105 0.2500 x4
Cs 0.0000 0.1568 0.7500 x4
In 0.0000 0.3368 0.7500 x4
Br 0.0000 0.2401 0.2500 x4
Br 0.0000 0.4213 0.0146 x8

Calculated values
- M_tot: 0.0 μB/f.u.
- Excess energy over the best structure of this formula in the dataset: 14 meV per atom
- Calculated total energy: -2.93 eV per atom
- Formation energy from raw total energies: -1.3571 eV per atom

***

> Which of these has the lowest formation energy from raw total energies?

number 1